{
  "formula": "Li2ZnRu",
  "functional": "PBE-GGA",
  "state": "optimized geometry",
  "formation_enthalpy_0k_ev_per_atom": 0.0023,
  "space_group": "No. 166",
  "m_tot_mub_per_atom": 0.044,
  "total_energy_ev_per_atom": -3.592,
  "lattice_angstrom": [[1.3304, 0.7681, 9.2291], [-1.3304, 0.7681, 9.2291], [0.0000, -1.5362, 9.2291]],
  "species": ["Li", "Li", "Zn", "Ru"],
  "fractional_positions": [[0.2468, 0.2468, 0.2468], [0.7532, 0.7532, 0.7532], [0.0000, 0.0000, 0.0000], [0.5000, 0.5000, 0.5000]]
}

=====

{
  "formula": "TaRh3",
  "functional": "PBE-GGA",
  "state": "optimized geometry",
  "formation_enthalpy_0k_ev_per_atom": -0.2676,
  "space_group": "No. 123",
  "m_tot_mub_per_atom": 0.000,
  "total_energy_ev_per_atom": -8.744,
  "lattice_angstrom": [[3.3192, 0.0000, 0.0000], [0.0000, 3.3192, 0.0000], [0.0000, 0.0000, 5.5455]],
  "species": ["Ta", "Rh", "Rh", "Rh"],
  "fractional_positions": [[0.0000, 0.0000, 0.0000], [0.0000, 0.0000, 0.5000], [0.5000, 0.5000, 0.2519], [0.5000, 0.5000, 0.7481]]
}

=====

{
  "formula": "Sr2Zn2Br",
  "functional": "PBE-GGA",
  "state": "optimized geometry",
  "formation_energy_uncorrected_ev_per_atom": -0.584,
  "space_group": "No. 127",
  "m_tot_mub_per_atom": 0.000,
  "total_energy_ev_per_atom": -2.101,
  "lattice_angstrom": [[8.6718, 0.0000, 0.0000], [0.0000, 8.6718, 0.0000], [0.0000, 0.0000, 4.4734]],
  "species": ["Sr", "Sr", "Sr", "Sr", "Zn", "Zn", "Zn", "Zn", "Br", "Br"],
  "fractional_positions": [[0.1899, 0.3101, 0.0000], [0.3101, 0.8101, 0.0000], [0.6899, 0.1899, 0.0000], [0.8101, 0.6899, 0.0000], [0.0993, 0.5993, 0.5000], [0.4007, 0.0993, 0.5000], [0.5993, 0.9007, 0.5000], [0.9007, 0.4007, 0.5000], [0.0000, 0.0000, 0.0000], [0.5000, 0.5000, 0.0000]]
}